NaCuBi | PBE | relaxed

The space group is F-43m (No. 216) and the conventional cell measures 6.585, 6.585 and 6.585 Å, with angles of 90.00, 90.00 and 90.00 degrees. The inequivalent atoms are Na at (0.000, 0.000, 0.000), Cu at (0.250, 0.250, 0.250) and Bi at (0.000, 0.000, 0.500).

The value obtained for the electronic total energy is -3.11 eV per atom. The calculation puts the energy of formation at -0.008 eV/atom. The energy above the lowest structure with this stoichiometry comes out at 75 meV/atom.